Record 1
# NbNi2Pd2

A relaxed NbNi2Pd2 crystal (PBE, the Alexandria database).

Properties
- N(E_F) (states/eV per atom) = 0.751
- size of the total moment (μB/atom) = 0.000
- energy above the lowest structure with this stoichiometry (meV/atom) = 178
- E (eV/atom) = -6.276
- E_form (eV/atom) = 0.13

a = 7.132 Å, b = 6.252 Å, c = 10.651 Å
α = 152.31°, β = 109.56°, γ = 90.00°
Sites, in units of the cell vectors:
1 Nb 0.962 0.750 0.000
2 Pd 0.598 0.047 0.751
3 Pd 0.847 0.453 0.249
4 Ni 0.230 0.858 0.689
5 Ni 0.770 0.142 0.311
6 Pd 0.153 0.547 0.751
7 Pd 0.402 0.953 0.249
8 Ni 0.540 0.642 0.311
9 Ni 0.460 0.358 0.689
10 Nb 0.038 0.250 0.000

Record 2
# PuPa3Ni8

A relaxed PuPa3Ni8 crystal (PBE, the Alexandria database).

Properties
- N(E_F) (states/eV per atom) = 1.175
- size of the total moment (μB/atom) = 0.509
- energy above the lowest structure with this stoichiometry (meV/atom) = 13
- E (eV/atom) = -7.803
- E_form (eV/atom) = -0.38

a = 5.030 Å, b = 5.030 Å, c = 8.721 Å
α = 73.24°, β = 73.24°, γ = 60.00°
Each line ends with the local moment (μB).
Sites, in units of the cell vectors:
1 Ni 0.940 0.438 0.184  0.07
2 Pa 0.378 0.378 0.865  -0.05
3 Pa 0.994 0.994 0.018  0.11
4 Ni 0.438 0.940 0.184  0.07
5 Pa 0.507 0.507 0.480  0.54
6 Ni 0.435 0.937 0.691  0.01
7 Ni 0.688 0.688 0.937  0.02
8 Pu 0.871 0.871 0.386  5.08
9 Ni 0.187 0.187 0.440  0.05
10 Ni 0.438 0.438 0.184  0.07
11 Ni 0.937 0.937 0.691  0.01
12 Ni 0.937 0.435 0.691  0.01

Record 3
# ZrFe6P6

A relaxed ZrFe6P6 crystal (PBE, the Alexandria database).

Properties
- N(E_F) (states/eV per atom) = 0.591
- size of the total moment (μB/atom) = 0.000
- E (eV/atom) = -7.516
- E_form (eV/atom) = -0.46

a = 4.988 Å, b = 4.988 Å, c = 7.108 Å
α = 90.00°, β = 90.00°, γ = 60.00°
Sites, in units of the cell vectors:
1 Zr 0.000 0.000 0.000
2 P 0.667 0.667 0.500
3 Fe 0.500 0.500 0.744
4 Fe 0.500 0.000 0.256
5 Fe 0.000 0.500 0.256
6 P 0.333 0.333 0.000
7 P 0.333 0.333 0.500
8 Fe 0.500 0.500 0.256
9 P 0.667 0.667 0.000
10 P 0.000 0.000 0.661
11 P 0.000 0.000 0.339
12 Fe 0.500 0.000 0.744
13 Fe 0.000 0.500 0.744

Record 4
# Pm2Pr2Sm

A relaxed Pm2Pr2Sm crystal (PBE, the Alexandria database).

Properties
- N(E_F) (states/eV per atom) = 1.362
- size of the total moment (μB/atom) = 0.000
- energy above the lowest structure with this stoichiometry (meV/atom) = 0
- E (eV/atom) = -4.745
- E_form (eV/atom) = 0.01

a = 3.673 Å, b = 3.673 Å, c = 15.128 Å
α = 83.03°, β = 83.03°, γ = 60.00°
Sites, in units of the cell vectors:
1 Pr 0.799 0.799 0.602
2 Sm 0.000 0.000 0.000
3 Pm 0.601 0.601 0.197
4 Pm 0.399 0.399 0.803
5 Pr 0.201 0.201 0.398

- Which value of N(E_F) does entry 2 give?
  1.175 states/eV per atom